Record 1
VASP calculation (GGA-PBE) on KSc2Te after structural relaxation.

```
KSc2Te
1.0
4.685 0.000 0.000
0.000 4.685 0.000
0.000 0.000 5.110
K Sc Te
1 2 1
direct
0.000 0.000 0.000
0.000 0.500 0.500
0.500 0.000 0.500
0.500 0.500 0.000
```

Summary:
As for the uncorrected formation energy: 27 meV per atom. As for the symmetry: P4/mmm, No. 123.


Record 2
VASP calculation (GGA-PBE) on MnIn2Br after structural relaxation.

```
MnIn2Br
1.0
3.751 0.000 0.000
0.000 5.674 0.000
0.000 0.000 10.011
Mn In Br
2 4 2
direct
0.000 0.000 0.000
0.500 0.500 0.000
0.000 0.000 0.478
0.000 0.500 0.215
0.500 0.000 0.215
0.500 0.500 0.478
0.000 0.500 0.827
0.500 0.000 0.827
```

Summary:
The value obtained for the offset from the most stable computed form is 6 meV/atom. As for the uncorrected formation energy: 15 meV per atom. As for the symmetry: Cmm2, No. 35.


Record 3
VASP calculation (GGA-PBE) on UNbCrC3 after structural relaxation.

```
UNbCrC3
1.0
6.914 0.000 0.000
0.000 3.138 0.000
-1.455 0.000 7.187
U Nb Cr C
2 2 2 6
direct
0.175 0.250 0.197
0.825 0.750 0.803
0.353 0.750 0.857
0.647 0.250 0.143
0.110 0.250 0.597
0.890 0.750 0.403
0.117 0.250 0.865
0.188 0.750 0.474
0.421 0.750 0.161
0.579 0.250 0.839
0.812 0.250 0.526
0.883 0.750 0.135
```

Summary:
The calculation puts the formation energy from the elements at -0.47 eV per formula unit. As for the symmetry: P2_1/m, No. 11.


Record 4
VASP calculation (GGA-PBE) on Te2Cl3F2 after structural relaxation.

```
Te2Cl3F2
1.0
3.729 0.000 0.000
1.831 5.494 0.000
0.080 2.479 10.217
Te Cl F
2 3 2
direct
0.234 0.017 0.150
0.766 0.983 0.850
0.000 0.500 0.000
0.149 0.168 0.338
0.851 0.832 0.662
0.401 0.674 0.255
0.599 0.326 0.745
```

Summary:
As for the uncorrected formation energy: -883 meV per atom. As for the symmetry: P-1, No. 2.


Record 5
VASP calculation (GGA-PBE) on Pt2RhCl after structural relaxation.

```
Pt2RhCl
1.0
2.939 0.000 0.000
-1.470 2.545 0.000
0.000 0.000 25.554
Pt Rh Cl
6 3 3
direct
0.000 0.000 0.248
0.000 0.000 0.752
0.333 0.667 0.419
0.333 0.667 0.915
0.667 0.333 0.085
0.667 0.333 0.581
0.000 0.000 0.500
0.333 0.667 0.167
0.667 0.333 0.833
0.000 0.000 0.000
0.333 0.667 0.667
0.667 0.333 0.333
```

Summary:
The value obtained for the offset from the most stable computed form is 128 meV/atom. As for the uncorrected formation energy: 327 meV per atom. As for the symmetry: R-3m, No. 166.


Record 6
VASP calculation (GGA-PBE) on Ce2PrRuN4 after structural relaxation.

```
Ce2PrRuN4
1.0
1.732 -5.989 0.000
1.732 5.989 0.000
0.000 0.000 11.711
Ce Pr Ru N
4 2 2 8
direct
0.131 0.869 0.551
0.131 0.869 0.949
0.869 0.131 0.051
0.869 0.131 0.449
0.389 0.611 0.750
0.611 0.389 0.250
0.352 0.648 0.250
0.648 0.352 0.750
0.047 0.953 0.750
0.231 0.769 0.123
0.231 0.769 0.377
0.500 0.500 0.000
0.500 0.500 0.500
0.769 0.231 0.623
0.769 0.231 0.877
0.953 0.047 0.250
```

Summary:
As for the uncorrected formation energy: -1032 meV per atom. As for the symmetry: Cmcm, No. 63.


Record 7
VASP calculation (GGA-PBE) on Sc3BiC after structural relaxation.

```
Sc3BiC
1.0
4.575 0.000 0.000
0.000 4.575 0.000
0.000 0.000 4.575
Sc Bi C
3 1 1
direct
0.000 0.000 0.500
0.000 0.500 0.000
0.500 0.000 0.000
0.500 0.500 0.500
0.000 0.000 0.000
```

Summary:
The calculation puts the formation energy from the elements at -3.27 eV per formula unit. As for the symmetry: Pm-3m, No. 221.


Record 8
VASP calculation (GGA-PBE) on CeTh2Pt2 after structural relaxation.

```
CeTh2Pt2
1.0
8.124 0.000 0.000
0.000 8.124 0.000
0.000 0.000 3.867
Ce Th Pt
2 4 4
direct
0.000 0.000 0.000
0.500 0.500 0.000
0.170 0.330 0.500
0.330 0.830 0.500
0.670 0.170 0.500
0.830 0.670 0.500
0.128 0.628 0.000
0.372 0.128 0.000
0.628 0.872 0.000
0.872 0.372 0.000
```

Summary:
The calculation puts the formation energy from the elements at -4.53 eV per formula unit. As for the symmetry: P4/mbm, No. 127.


Record 9
VASP calculation (GGA-PBE) on Er3Th2C4 after structural relaxation.

```
Er3Th2C4
1.0
6.011 -1.802 0.000
6.011 1.802 0.000
-4.195 0.000 7.933
Er Th C
3 2 4
direct
0.000 0.000 0.000
0.211 0.211 0.824
0.789 0.789 0.176
0.401 0.401 0.619
0.599 0.599 0.381
0.199 0.199 0.309
0.400 0.400 0.103
0.600 0.600 0.897
0.801 0.801 0.691
```

Summary:
The calculation puts the formation energy from the elements at -2.57 eV per formula unit. As for the symmetry: C2/m, No. 12.


Record 10
VASP calculation (GGA-PBE) on TlSi2Ag after structural relaxation.

```
TlSi2Ag
1.0
4.310 0.000 0.000
0.000 4.310 0.000
0.000 0.000 18.753
Tl Si Ag
4 8 4
direct
0.000 0.000 0.000
0.000 0.500 0.250
0.500 0.000 0.750
0.500 0.500 0.500
0.147 0.250 0.625
0.250 0.647 0.875
0.250 0.853 0.375
0.353 0.250 0.125
0.647 0.750 0.125
0.750 0.147 0.375
0.750 0.353 0.875
0.853 0.750 0.625
0.000 0.000 0.500
0.000 0.500 0.750
0.500 0.000 0.250
0.500 0.500 0.000
```

Summary:
The value obtained for the offset from the most stable computed form is 194 meV/atom. As for the uncorrected formation energy: 459 meV per atom. As for the symmetry: I-42d, No. 122.


Record 11
VASP calculation (GGA-PBE) on LaAl2Hg after structural relaxation.

```
LaAl2Hg
1.0
3.304 0.000 0.000
-1.652 2.861 0.000
0.000 0.000 30.013
La Al Hg
3 6 3
direct
0.000 0.000 0.000
0.333 0.667 0.667
0.667 0.333 0.333
0.000 0.000 0.241
0.000 0.000 0.759
0.333 0.667 0.425
0.333 0.667 0.908
0.667 0.333 0.092
0.667 0.333 0.575
0.000 0.000 0.500
0.333 0.667 0.167
0.667 0.333 0.833
```

Summary:
The calculation puts the formation energy from the elements at 0.31 eV per formula unit. As for the symmetry: R-3m, No. 166.


Record 12
VASP calculation (GGA-PBE) on ErMgAl after structural relaxation.

```
ErMgAl
1.0
5.260 0.000 0.000
-2.630 4.555 0.000
0.000 0.000 9.119
Er Mg Al
3 3 3
direct
0.000 0.000 0.000
0.333 0.667 0.667
0.667 0.333 0.333
0.000 0.000 0.627
0.333 0.667 0.294
0.667 0.333 0.961
0.000 0.000 0.327
0.333 0.667 0.994
0.667 0.333 0.661
```

Summary:
The calculation puts the formation energy from the elements at 0.15 eV per formula unit. As for the symmetry: R3m, No. 160.


Record 13
VASP calculation (GGA-PBE) on Pm5Y3Tm after structural relaxation.

```
Pm5Y3Tm
1.0
7.643 -5.836 0.000
7.643 5.836 0.000
-6.336 0.000 7.648
Pm Y Tm
10 6 2
direct
0.096 0.601 0.257
0.228 0.228 0.238
0.247 0.753 0.000
0.276 0.276 0.955
0.399 0.904 0.743
0.601 0.096 0.257
0.724 0.724 0.045
0.753 0.247 0.000
0.772 0.772 0.762
0.904 0.399 0.743
0.000 0.000 0.500
0.009 0.009 0.825
0.484 0.484 0.646
0.500 0.500 0.000
0.516 0.516 0.354
0.991 0.991 0.175
0.248 0.248 0.596
0.752 0.752 0.404
```

Summary:
The value obtained for the offset from the most stable computed form is 226 meV/atom. The calculation puts the formation energy from the elements at 4.53 eV per formula unit. As for the symmetry: C2/m, No. 12.


Record 14
VASP calculation (GGA-PBE) on La8Tb2Nd3 after structural relaxation.

```
La8Tb2Nd3
1.0
6.797 -5.965 0.000
6.797 5.965 0.000
-2.458 0.000 5.771
La Tb Nd
8 2 3
direct
0.049 0.049 0.291
0.064 0.588 0.830
0.358 0.358 0.438
0.412 0.936 0.170
0.588 0.064 0.830
0.642 0.642 0.562
0.936 0.412 0.170
0.951 0.951 0.709
0.213 0.213 0.825
0.787 0.787 0.175
0.253 0.747 0.500
0.500 0.500 0.000
0.747 0.253 0.500
```

Summary:
The value obtained for the offset from the most stable computed form is 0 meV/atom. The calculation puts the formation energy from the elements at 1.82 eV per formula unit. As for the symmetry: C2/m, No. 12.


Record 15
VASP calculation (GGA-PBE) on TlCu2Mo after structural relaxation.

```
TlCu2Mo
1.0
2.827 0.000 0.000
0.000 4.205 0.000
-1.400 0.000 5.352
Tl Cu Mo
1 2 1
direct
0.000 0.000 0.000
0.622 0.500 0.241
0.747 0.000 0.490
0.343 0.500 0.685
```

Summary:
The value obtained for the offset from the most stable computed form is 101 meV/atom. The calculation puts the formation energy from the elements at 2.11 eV per formula unit. As for the symmetry: Pm, No. 6.


Record 16
VASP calculation (GGA-PBE) on Pu2ThU after structural relaxation.

```
Pu2ThU
1.0
3.720 0.000 0.000
0.000 3.720 0.000
0.000 0.000 7.060
Pu Th U
2 1 1
direct
0.000 0.000 0.211
0.000 0.000 0.789
0.500 0.500 0.500
0.500 0.500 0.000
```

Summary:
The calculation puts the formation energy from the elements at 1.08 eV per formula unit. As for the symmetry: P4/mmm, No. 123.


Record 17
VASP calculation (GGA-PBE) on Sm2Ga2Co5 after structural relaxation.

```
Sm2Ga2Co5
1.0
2.615 1.510 11.671
-2.615 1.510 11.671
0.000 -3.020 11.671
Sm Ga Co
4 4 10
direct
0.049 0.049 0.049
0.147 0.147 0.147
0.853 0.853 0.853
0.951 0.951 0.951
0.278 0.278 0.278
0.388 0.388 0.388
0.612 0.612 0.612
0.722 0.722 0.722
0.000 0.500 0.500
0.113 0.610 0.610
0.390 0.390 0.887
0.390 0.887 0.390
0.500 0.000 0.500
0.500 0.500 0.000
0.500 0.500 0.500
0.610 0.113 0.610
0.610 0.610 0.113
0.887 0.390 0.390
```

Summary:
The calculation puts the formation energy from the elements at -2.54 eV per formula unit. As for the symmetry: R-3m, No. 166.


Record 18
VASP calculation (GGA-PBE) on Ta6Mo5Rh after structural relaxation.

```
Ta6Mo5Rh
1.0
-2.282 3.215 6.847
2.282 -3.215 6.847
2.282 3.215 -6.847
Ta Mo Rh
6 5 1
direct
0.080 0.332 0.748
0.246 0.000 0.246
0.416 0.668 0.748
0.584 0.332 0.252
0.754 0.000 0.754
0.920 0.668 0.252
0.000 0.500 0.500
0.167 0.167 0.000
0.336 0.836 0.500
0.664 0.164 0.500
0.833 0.833 0.000
0.500 0.500 0.000
```

Summary:
The calculation puts the formation energy from the elements at -3.37 eV per formula unit. As for the symmetry: Immm, No. 71.


Record 19
VASP calculation (GGA-PBE) on MgZrRe2 after structural relaxation.

```
MgZrRe2
1.0
2.826 0.000 0.000
-1.413 2.447 0.000
0.000 0.000 29.821
Mg Zr Re
3 3 6
direct
0.000 0.000 0.000
0.333 0.667 0.667
0.667 0.333 0.333
0.000 0.000 0.500
0.333 0.667 0.167
0.667 0.333 0.833
0.000 0.000 0.254
0.000 0.000 0.746
0.333 0.667 0.413
0.333 0.667 0.920
0.667 0.333 0.080
0.667 0.333 0.587
```

Summary:
The calculation puts the formation energy from the elements at 1.48 eV per formula unit. As for the symmetry: R-3m, No. 166.


Record 20
VASP calculation (GGA-PBE) on ZrTaIn2 after structural relaxation.

```
ZrTaIn2
1.0
10.138 0.000 0.000
0.000 3.118 0.000
-0.887 0.000 5.438
Zr Ta In
2 2 4
direct
0.000 0.000 0.000
0.500 0.500 0.000
0.000 0.500 0.500
0.500 0.000 0.500
0.247 0.000 0.740
0.253 0.500 0.260
0.747 0.500 0.740
0.753 0.000 0.260
```

Summary:
The value obtained for the offset from the most stable computed form is 99 meV/atom. The calculation puts the formation energy from the elements at 0.28 eV per formula unit. As for the symmetry: C2/m, No. 12.


Record 21
VASP calculation (GGA-PBE) on Cs2BeAuCl6 after structural relaxation.

```
Cs2BeAuCl6
1.0
-3.630 3.630 5.484
3.630 -3.630 5.484
3.630 3.630 -5.484
Cs Be Au Cl
2 1 1 6
direct
0.250 0.750 0.500
0.750 0.250 0.500
0.000 0.000 0.000
0.500 0.500 0.000
0.210 0.210 0.420
0.210 0.790 0.000
0.288 0.288 0.000
0.712 0.712 0.000
0.790 0.210 0.000
0.790 0.790 0.580
```

Summary:
As for the uncorrected formation energy: -1171 meV per atom. As for the symmetry: I4/mmm, No. 139.


Record 22
VASP calculation (GGA-PBE) on ScRe2Ag after structural relaxation.

```
ScRe2Ag
1.0
3.520 0.000 0.000
0.000 3.520 0.000
0.000 0.000 5.655
Sc Re Ag
1 2 1
direct
0.000 0.000 0.000
0.500 0.500 0.214
0.500 0.500 0.786
0.000 0.000 0.500
```

Summary:
The value obtained for the offset from the most stable computed form is 563 meV/atom. The calculation puts the formation energy from the elements at 2.41 eV per formula unit. As for the symmetry: P4/mmm, No. 123.


Record 23
VASP calculation (GGA-PBE) on Ba3CaF after structural relaxation.

```
Ba3CaF
1.0
5.944 0.000 0.000
0.000 5.944 0.000
0.000 0.000 5.944
Ba Ca F
3 1 1
direct
0.000 0.000 0.500
0.000 0.500 0.000
0.500 0.000 0.000
0.500 0.500 0.500
0.000 0.000 0.000
```

Summary:
As for the uncorrected formation energy: -1027 meV per atom. As for the symmetry: Pm-3m, No. 221.


Record 24
VASP calculation (GGA-PBE) on LiPuMg2Tl4 after structural relaxation.

```
LiPuMg2Tl4
1.0
2.582 1.491 8.572
-2.582 1.491 8.572
0.000 -2.981 8.572
Li Pu Mg Tl
1 1 2 4
direct
0.000 0.000 0.000
0.500 0.500 0.500
0.249 0.249 0.249
0.751 0.751 0.751
0.119 0.119 0.119
0.371 0.371 0.371
0.629 0.629 0.629
0.881 0.881 0.881
```

Summary:
The calculation puts the formation energy from the elements at -0.84 eV per formula unit. As for the symmetry: R-3m, No. 166.


| no. | magnetization (μB per formula unit) |
| --- | --- |
| 1 | 1.6 |
| 2 | 4.4 |
| 3 | 0.0 |
| 4 | 0.0 |
| 5 | 0.0 |
| 6 | 0.0 |
| 7 | 0.0 |
| 8 | 1.2 |
| 9 | 0.0 |
| 10 | 0.0 |
| 11 | 0.7 |
| 12 | 0.0 |
| 13 | 0.0 |
| 14 | 0.0 |
| 15 | 0.0 |
| 16 | 11.2 |
| 17 | 3.2 |
| 18 | 0.0 |
| 19 | 0.0 |
| 20 | 0.0 |
| 21 | 0.0 |
| 22 | 0.0 |
| 23 | 0.0 |
| 24 | 5.7 |